Computed, not measured: TcSeNF2 after structural relaxation at the PBE level of DFT.

Calculated values
Its total energy is -23.1 eV/f.u. The value obtained for the energy relative to the lowest polymorph listed for this composition is 750 meV/atom. The calculation puts the raw formation energy at 566.5 meV/atom. For the density of states at the Fermi level, the calculation gives 1.4 states/eV/f.u.

a b c (Å): 4.605 4.605 3.670
angles (deg): 90.00 90.00 90.00
Positions (direct):
Tc1 0.000 0.000 0.000
Se1 0.500 0.500 0.500
N1 0.500 0.500 0.000
F1 0.000 0.500 0.500
F2 0.500 0.000 0.500

Computed, not measured: BaScNi after structural relaxation at the PBE level of DFT.

Calculated values
Its total energy is -14.4 eV/f.u. The value obtained for the energy relative to the lowest polymorph listed for this composition is 35 meV/atom. Its energy relative to the elements is -0.13 eV per atom. For the density of states at the Fermi level, the calculation gives 3.1 states/eV/f.u.

a b c (Å): 3.768 4.820 11.074
angles (deg): 88.13 89.23 67.05
Positions (direct):
Ba1 0.150 0.225 0.174
Ba2 0.850 0.775 0.826
Sc1 0.136 0.222 0.581
Sc2 0.864 0.778 0.419
Ni1 0.423 0.646 0.595
Ni2 0.577 0.354 0.405

Computed, not measured: KCrAu4 after structural relaxation at the PBE level of DFT.

Calculated values
Its total energy is -23.4 eV/f.u. Its energy relative to the elements is 0.08 eV per atom. For the density of states at the Fermi level, the calculation gives 1.8 states/eV/f.u.

a b c (Å): 5.645 5.645 5.645
angles (deg): 60.00 60.00 60.00
Positions (direct):
K1 0.000 0.000 0.000
Cr1 0.250 0.250 0.250
Au1 0.126 0.625 0.625
Au2 0.625 0.126 0.625
Au3 0.625 0.625 0.126
Au4 0.625 0.625 0.625

Computed, not measured: Be2TcAg after structural relaxation at the PBE level of DFT.

Calculated values
Its total energy is -19.7 eV/f.u. The value obtained for the energy relative to the lowest polymorph listed for this composition is 172 meV/atom. Its energy relative to the elements is 0.24 eV per atom. For the density of states at the Fermi level, the calculation gives 0.9 states/eV/f.u.

a b c (Å): 4.149 4.149 5.118
angles (deg): 98.11 98.11 36.50
Positions (direct):
Be1 0.250 0.250 0.194
Be2 0.750 0.750 0.806
Tc1 0.500 0.500 0.000
Ag1 0.000 0.000 0.500

Computed, not measured: ZrSc2Hg after structural relaxation at the PBE level of DFT.

Calculated values
Its total energy is -21.9 eV/f.u. Its energy relative to the elements is -0.09 eV per atom. For the density of states at the Fermi level, the calculation gives 7.1 states/eV/f.u.

a b c (Å): 5.293 5.293 3.276
angles (deg): 90.00 90.00 100.99
Positions (direct):
Zr1 0.000 0.000 0.000
Sc1 0.000 0.500 0.500
Sc2 0.500 0.000 0.500
Hg1 0.500 0.500 0.000

Computed, not measured: YRu3S after structural relaxation at the PBE level of DFT.

Calculated values
Its total energy is -39.3 eV/f.u. The value obtained for the energy relative to the lowest polymorph listed for this composition is 0 meV/atom. The calculation puts the raw formation energy at -173.8 meV/atom. For the density of states at the Fermi level, the calculation gives 3.9 states/eV/f.u.

a b c (Å): 4.411 4.411 4.411
angles (deg): 90.00 90.00 90.00
Positions (direct):
Y1 0.000 0.000 0.000
Ru1 0.000 0.500 0.500
Ru2 0.500 0.000 0.500
Ru3 0.500 0.500 0.000
S1 0.500 0.500 0.500

Computed, not measured: CuTeIrN2 after structural relaxation at the PBE level of DFT.

Calculated values
Its total energy is -28.8 eV/f.u. The value obtained for the energy relative to the lowest polymorph listed for this composition is 0 meV/atom. The calculation puts the raw formation energy at 798.5 meV/atom. For the density of states at the Fermi level, the calculation gives 4.1 states/eV/f.u.

a b c (Å): 3.774 3.774 5.947
angles (deg): 90.00 90.00 90.00
Positions (direct):
Cu1 0.000 0.000 0.000
Te1 0.500 0.500 0.000
Ir1 0.500 0.500 0.500
N1 0.000 0.500 0.500
N2 0.500 0.000 0.500

Computed, not measured: K2LiZn3F12 after structural relaxation at the PBE level of DFT.

Calculated values
Its total energy is -68.5 eV/f.u. The calculation puts the raw formation energy at -2115.0 meV/atom. For the density of states at the Fermi level, the calculation gives 10.5 states/eV/f.u.

a b c (Å): 7.087 7.087 7.087
angles (deg): 63.09 63.09 63.09
Positions (direct):
K1 0.134 0.134 0.134
K2 0.866 0.866 0.866
Li1 0.500 0.500 0.500
Zn1 0.000 0.500 0.500
Zn2 0.500 0.000 0.500
Zn3 0.500 0.500 0.000
F1 0.165 0.583 0.583
F2 0.178 0.178 0.575
F3 0.178 0.575 0.178
F4 0.417 0.417 0.835
F5 0.417 0.835 0.417
F6 0.425 0.822 0.822
F7 0.575 0.178 0.178
F8 0.583 0.165 0.583
F9 0.583 0.583 0.165
F10 0.822 0.425 0.822
F11 0.822 0.822 0.425
F12 0.835 0.417 0.417